# PrScPt4, relaxed, DFT PBE
# Crystal system: cubic
# DOS at the Fermi energy: 1.5 states/eV per cell
# Spin magnetization: 0.0000 μB/atom
# Space-group type: No. 216
# E: -41.21 eV/cell
# Calculated volume: 114 Å³ per cell
data_PrScPt4
_chemical_formula_sum 'Pr1 Sc1 Pt4'
_symmetry_space_group_name_H-M 'P 1'
_symmetry_Int_Tables_number 1
_cell_length_a 5.4353
_cell_length_b 5.4353
_cell_length_c 5.4353
_cell_angle_alpha 60.00
_cell_angle_beta 60.00
_cell_angle_gamma 60.00
loop_
_symmetry_equiv_pos_as_xyz
'x,y,z'
loop_
_atom_site_label
_atom_site_fract_x
_atom_site_fract_y
_atom_site_fract_z
Pr1 0.2500 0.2500 0.2500
Sc1 0.0000 0.0000 0.0000
Pt1 0.6256 0.6256 0.1232
Pt2 0.6256 0.1232 0.6256
Pt3 0.6256 0.6256 0.6256
Pt4 0.1232 0.6256 0.6256